(1)
An optimized crystal structure of GeMo4AuC2. Source: OQMD, functional PBE.

The structure in extended XYZ format:
```
8
Lattice="3.127 0.000 0.000 -1.564 2.708 0.000 0.000 0.000 13.088" Properties=species:S:1:pos:R:3 pbc="T T T"
C 1.564 0.903 3.369
Mo 0.000 0.000 8.541
C 1.564 0.903 9.720
Mo 0.000 0.000 4.547
Ge 0.000 1.806 6.544
Mo 0.000 1.806 2.300
Au 0.000 0.000 0.000
Mo 0.000 1.806 10.788
```

Computed properties:
Calculated total energy   -8.719 eV per atom

(2)
An optimized crystal structure of ScBeTlFe. Source: OQMD, functional PBE.

The structure in extended XYZ format:
```
4
Lattice="0.000 3.180 3.180 3.180 0.000 3.180 3.180 3.180 0.000" Properties=species:S:1:pos:R:3 pbc="T T T"
Tl 0.000 0.000 0.000
Be 1.590 1.590 1.590
Fe 4.770 4.770 4.770
Sc 3.180 3.180 3.180
```

Computed properties:
Calculated total energy   -4.916 eV per atom

(3)
An optimized crystal structure of CsPrHf. Source: OQMD, functional PBE.

The structure in extended XYZ format:
```
3
Lattice="3.240 -4.750 -0.414 -2.370 -5.188 0.839 -0.713 -3.597 -4.449" Properties=species:S:1:pos:R:3 pbc="T T T"
Hf 0.000 0.000 0.000
Cs 0.039 -3.384 -1.006
Pr 0.118 -10.151 -3.018
```

Computed properties:
Energy above the most stable polymorph in this dataset   0.000 eV per atom

(4)
An optimized crystal structure of RbHfAsO. Source: OQMD, functional PBE.

The structure in extended XYZ format:
```
8
Lattice="-2.250 1.011 2.445 -5.560 0.361 -5.265 -1.865 -7.644 1.445" Properties=species:S:1:pos:R:3 pbc="T T T"
O -6.650 -2.804 -2.493
As -4.334 -5.618 -1.665
Hf -4.827 -3.494 -2.997
Hf -3.494 -7.463 -0.129
As -3.127 -1.814 -2.127
Rb -5.587 0.553 -2.902
Rb -3.273 -3.480 0.895
O -3.855 -6.868 1.760
```

Computed properties:
Energy above the most stable polymorph in this dataset   0.188 eV per atom

(5)
An optimized crystal structure of Zr3Bi4Pd3. Source: OQMD, functional PBE.

The structure in extended XYZ format:
```
20
Lattice="-3.628 5.442 5.190 4.439 -5.523 4.417 5.061 4.092 -5.231" Properties=species:S:1:pos:R:3 pbc="T T T"
Zr 2.912 3.218 -0.219
Pd 5.209 1.658 0.784
Pd 2.106 4.568 2.279
Zr 3.765 -0.557 2.097
Bi -0.242 3.992 0.970
Bi 4.047 2.765 3.017
Bi 3.909 0.330 -1.243
Pd 4.696 -3.129 3.206
Pd -1.432 3.893 4.991
Pd 2.959 0.794 4.595
Bi 2.289 6.038 -1.645
Zr 1.795 -0.239 7.103
Pd 4.076 4.251 -2.727
Bi 1.092 -1.071 3.821
Bi 6.129 -2.431 0.966
Zr 0.662 2.353 3.592
Zr 7.304 0.119 -0.615
Bi -0.722 1.651 6.416
Zr 1.176 7.141 1.170
Bi 1.112 0.760 0.829
```

Computed properties:
Calculated total energy   -6.177 eV per atom

(6)
An optimized crystal structure of LaPr3Br2N2. Source: OQMD, functional PBE.

The structure in extended XYZ format:
```
8
Lattice="-3.616 -0.145 -0.994 1.777 -3.125 1.076 -3.972 2.584 14.068" Properties=species:S:1:pos:R:3 pbc="T T T"
La -0.358 0.233 1.269
Br -2.975 1.936 10.539
Pr -4.163 0.387 8.002
Pr -5.422 1.207 12.462
N -3.987 0.449 14.436
Pr -1.629 1.060 5.772
N -2.008 -0.839 7.426
Br -2.824 -0.484 3.259
```

Computed properties:
Calculated total energy   -6.326 eV per atom

| no. | total moment (μB/f.u.) |
| --- | --- |
| 1 | 0.0 |
| 2 | 1.6 |
| 3 | 4.0 |
| 4 | 0.0 |
| 5 | 0.0 |
| 6 | 0.0 |